Here is a relaxed GaFeSCl2 crystal from Alexandria via LeMat-Bulk. Energies are from GGA-PBEsol.

Properties
- Density: 3654 kg/m³
- Raw total energy: -3.926 eV/atom
- Formation energy without anion corrections: 214.2 meV per atom

abc: 4.669 4.669 4.763
angles: 90.00 90.00 90.00
Positions (direct):
Ga: 0.000 0.000 0.000
Fe: 0.500 0.500 0.500
S: 0.000 0.000 0.500
Cl: 0.000 0.500 0.000
Cl: 0.500 0.000 0.000

---

Here is a relaxed MnMo2Au crystal from Alexandria via LeMat-Bulk. Energies are from GGA-PBEsol.

Properties
- Density: 12386 kg/m³
- Calculated formation energy: 0.5419 eV/atom
- Raw total energy: -8.763 eV/atom

abc: 4.382 4.382 4.382
angles: 60.00 60.00 60.00
Positions (direct):
Mn: 0.000 0.000 0.000
Mo: 0.250 0.250 0.250
Mo: 0.750 0.750 0.750
Au: 0.500 0.500 0.500

---

Here is a relaxed ScSiPb2 crystal from Alexandria via LeMat-Bulk. Energies are from GGA-PBEsol.

Properties
- Density: 8663 kg/m³
- Raw total energy: -5.051 eV/atom
- Formation energy without anion corrections: 36.3 meV per atom

abc: 3.418 5.176 5.282
angles: 90.00 90.00 90.00
Positions (direct):
Sc: 0.000 0.000 0.000
Si: 0.500 0.000 0.500
Pb: 0.000 0.500 0.500
Pb: 0.500 0.500 0.000

---

Here is a relaxed Ta2Rh3 crystal from Alexandria via LeMat-Bulk. Energies are from GGA-PBEsol.

Properties
- Density: 14714 kg/m³
- Calculated formation energy: -0.1984 eV/atom
- Raw total energy: -10.102 eV/atom

abc: 11.237 11.237 11.237
angles: 14.33 14.33 14.33
Positions (direct):
Ta: 0.099 0.099 0.099
Ta: 0.901 0.901 0.901
Rh: 0.299 0.299 0.299
Rh: 0.500 0.500 0.500
Rh: 0.701 0.701 0.701

---

Here is a relaxed KMnW2 crystal from Alexandria via LeMat-Bulk. Energies are from GGA-PBEsol.

Properties
- Density: 10734 kg/m³
- Calculated formation energy: 1.7860 eV/atom
- Raw total energy: -7.841 eV/atom

abc: 5.653 5.653 5.653
angles: 140.85 140.85 56.57
Positions (direct):
K: 0.000 0.000 0.000
Mn: 0.500 0.500 0.000
W: 0.250 0.750 0.500
W: 0.750 0.250 0.500

---

Here is a relaxed TaHgRu2 crystal from Alexandria via LeMat-Bulk. Energies are from GGA-PBEsol.

Properties
- Density: 14794 kg/m³
- Calculated formation energy: 0.3041 eV/atom
- Raw total energy: -8.062 eV/atom

abc: 3.398 3.398 5.675
angles: 90.00 90.00 90.00
Positions (direct):
Ta: 0.000 0.000 0.000
Hg: 0.500 0.500 0.311
Ru: 0.000 0.000 0.574
Ru: 0.500 0.500 0.811